Model i:
VASP calculation (PBE) on a relaxed CaSbPO2 crystal.

a = 4.240 Å, b = 4.240 Å, c = 5.703 Å
α = 90.00°, β = 90.00°, γ = 90.00°
Fractional coordinates of all 5 atoms:
Ca1 0.000 0.000 0.000
Sb1 0.500 0.500 0.500
O1 0.500 0.000 0.000
O2 0.000 0.500 0.000
P1 0.000 0.000 0.500

Computed properties:
**Total moment**: 0.38 μB per atom
**Fermi-level density of states**: 2.00 states/eV/cell


Model ii:
VASP calculation (PBE) on a relaxed CaSbPO2 crystal.

a = 4.080 Å, b = 4.080 Å, c = 5.169 Å
α = 90.00°, β = 90.00°, γ = 90.00°
Fractional coordinates of all 5 atoms:
P1 0.000 0.000 0.500
O1 0.500 0.000 0.000
O2 0.000 0.500 0.000
Sb1 0.000 0.000 0.000
Ca1 0.500 0.500 0.500

Computed properties:
**Total moment**: 0.00 μB per atom
**Fermi-level density of states**: 2.40 states/eV/cell


Which structure above is the least stable? It is model i.